Entry 1:
# CeY6Ho12 PBE-GGA relaxed
data_CeY6Ho12
_space_group_name_H-M_alt 'P 1'
_space_group_IT_number 1
_cell_length_a 8.674
_cell_length_b 8.674
_cell_length_c 8.674
_cell_angle_alpha 99.21
_cell_angle_beta 99.21
_cell_angle_gamma 99.21
loop_
_space_group_symop_operation_xyz
'x,y,z'
loop_
_atom_site_label
_atom_site_type_symbol
_atom_site_fract_x
_atom_site_fract_y
_atom_site_fract_z
Ce1 Ce 0.000 0.000 0.000
Y1 Y 0.105 0.105 0.662
Y2 Y 0.105 0.662 0.105
Y3 Y 0.338 0.895 0.895
Y4 Y 0.662 0.105 0.105
Y5 Y 0.895 0.338 0.895
Y6 Y 0.895 0.895 0.338
Ho1 Ho 0.077 0.351 0.351
Ho2 Ho 0.245 0.500 0.755
Ho3 Ho 0.245 0.755 0.500
Ho4 Ho 0.351 0.077 0.351
Ho5 Ho 0.351 0.351 0.077
Ho6 Ho 0.500 0.245 0.755
Ho7 Ho 0.500 0.755 0.245
Ho8 Ho 0.649 0.649 0.923
Ho9 Ho 0.649 0.923 0.649
Ho10 Ho 0.755 0.245 0.500
Ho11 Ho 0.755 0.500 0.245
Ho12 Ho 0.923 0.649 0.649
# Magnetization in μB/f.u.: 1.87
# E_tot in Ry per atom: -0.369
# Space-group type: R-3m (166)

=====

Entry 2:
# ZnSnRhS4 PBE-GGA relaxed
data_ZnSnRhS4
_space_group_name_H-M_alt 'P 1'
_space_group_IT_number 1
_cell_length_a 7.337
_cell_length_b 7.337
_cell_length_c 7.337
_cell_angle_alpha 119.73
_cell_angle_beta 119.37
_cell_angle_gamma 90.78
loop_
_space_group_symop_operation_xyz
'x,y,z'
loop_
_atom_site_label
_atom_site_type_symbol
_atom_site_fract_x
_atom_site_fract_y
_atom_site_fract_z
Zn1 Zn 0.385 0.135 0.250
Zn2 Zn 0.615 0.865 0.750
Sn1 Sn 0.000 0.500 0.500
Sn2 Sn 0.500 0.500 0.000
Rh1 Rh 0.000 0.000 0.500
Rh2 Rh 0.000 0.500 0.000
S1 S 0.216 0.749 0.467
S2 S 0.218 0.251 0.967
S3 S 0.234 0.234 0.500
S4 S 0.234 0.733 0.000
S5 S 0.766 0.267 0.000
S6 S 0.766 0.766 0.500
S7 S 0.782 0.749 0.033
S8 S 0.784 0.251 0.533
# Energy relative to the elements, uncorrected in eV per atom: -0.468
# Magnetization in μB/f.u.: 0.00
# E_tot in Ry per atom: -0.340
# Space-group type: Imma (74)

=====

Entry 3:
# Nd3MgRh PBE-GGA relaxed
data_Nd3MgRh
_space_group_name_H-M_alt 'P 1'
_space_group_IT_number 1
_cell_length_a 5.536
_cell_length_b 5.536
_cell_length_c 5.536
_cell_angle_alpha 90.00
_cell_angle_beta 90.00
_cell_angle_gamma 90.00
loop_
_space_group_symop_operation_xyz
'x,y,z'
loop_
_atom_site_label
_atom_site_type_symbol
_atom_site_fract_x
_atom_site_fract_y
_atom_site_fract_z
Nd1 Nd 0.000 0.000 0.500
Nd2 Nd 0.000 0.500 0.000
Nd3 Nd 0.500 0.000 0.000
Mg1 Mg 0.500 0.500 0.500
Rh1 Rh 0.000 0.000 0.000
# Distance to the lowest polymorph of the same formula in eV per atom: 0.136
# Magnetization in μB/f.u.: 0.00
# E_tot in Ry per atom: -0.355
# Space-group type: Pm-3m (221)

=====

Entry 4:
# ScNiSnAu PBE-GGA relaxed
data_ScNiSnAu
_space_group_name_H-M_alt 'P 1'
_space_group_IT_number 1
_cell_length_a 6.578
_cell_length_b 6.578
_cell_length_c 6.578
_cell_angle_alpha 90.00
_cell_angle_beta 90.00
_cell_angle_gamma 90.00
loop_
_space_group_symop_operation_xyz
'x,y,z'
loop_
_atom_site_label
_atom_site_type_symbol
_atom_site_fract_x
_atom_site_fract_y
_atom_site_fract_z
Sc1 Sc 0.000 0.000 0.000
Sc2 Sc 0.000 0.500 0.500
Sc3 Sc 0.500 0.000 0.500
Sc4 Sc 0.500 0.500 0.000
Ni1 Ni 0.250 0.250 0.750
Ni2 Ni 0.250 0.750 0.250
Ni3 Ni 0.750 0.250 0.250
Ni4 Ni 0.750 0.750 0.750
Sn1 Sn 0.000 0.000 0.500
Sn2 Sn 0.000 0.500 0.000
Sn3 Sn 0.500 0.000 0.000
Sn4 Sn 0.500 0.500 0.500
Au1 Au 0.250 0.250 0.250
Au2 Au 0.250 0.750 0.750
Au3 Au 0.750 0.250 0.750
Au4 Au 0.750 0.750 0.250
# Magnetization in μB/f.u.: 0.00
# E_tot in Ry per atom: -0.392
# Space-group type: F-43m (216)

=====

Entry 5:
# Ba2CoTeP PBE-GGA relaxed
data_Ba2CoTeP
_space_group_name_H-M_alt 'P 1'
_space_group_IT_number 1
_cell_length_a 6.080
_cell_length_b 6.080
_cell_length_c 4.200
_cell_angle_alpha 90.00
_cell_angle_beta 90.00
_cell_angle_gamma 90.00
loop_
_space_group_symop_operation_xyz
'x,y,z'
loop_
_atom_site_label
_atom_site_type_symbol
_atom_site_fract_x
_atom_site_fract_y
_atom_site_fract_z
Ba1 Ba 0.000 0.500 0.000
Ba2 Ba 0.500 0.000 0.000
Co1 Co 0.000 0.000 0.000
Te1 Te 0.500 0.500 0.500
P1 P 0.000 0.000 0.500
# Energy relative to the elements, uncorrected in eV per atom: -0.874
# Magnetization in μB/f.u.: 0.00
# E_tot in Ry per atom: -0.351
# Space-group type: P4/mmm (123)

=====

Entry 6:
# Pm6SnS8 PBE-GGA relaxed
data_Pm6SnS8
_space_group_name_H-M_alt 'P 1'
_space_group_IT_number 1
_cell_length_a 8.071
_cell_length_b 8.071
_cell_length_c 8.071
_cell_angle_alpha 60.00
_cell_angle_beta 60.00
_cell_angle_gamma 60.00
loop_
_space_group_symop_operation_xyz
'x,y,z'
loop_
_atom_site_label
_atom_site_type_symbol
_atom_site_fract_x
_atom_site_fract_y
_atom_site_fract_z
Pm1 Pm 0.000 0.000 0.500
Pm2 Pm 0.000 0.500 0.000
Pm3 Pm 0.000 0.500 0.500
Pm4 Pm 0.500 0.000 0.000
Pm5 Pm 0.500 0.000 0.500
Pm6 Pm 0.500 0.500 0.000
Sn1 Sn 0.000 0.000 0.000
S1 S 0.250 0.250 0.250
S2 S 0.251 0.251 0.749
S3 S 0.251 0.749 0.251
S4 S 0.251 0.749 0.749
S5 S 0.749 0.251 0.251
S6 S 0.749 0.251 0.749
S7 S 0.749 0.749 0.251
S8 S 0.750 0.750 0.750
# Energy relative to the elements, uncorrected in eV per atom: -1.823
# Magnetization in μB/f.u.: 0.00
# E_tot in Ry per atom: -0.455
# Space-group type: Fm-3m (225)

=====

Entry 7:
# NaTe2Au PBE-GGA relaxed
data_NaTe2Au
_space_group_name_H-M_alt 'P 1'
_space_group_IT_number 1
_cell_length_a 4.635
_cell_length_b 4.791
_cell_length_c 6.034
_cell_angle_alpha 68.61
_cell_angle_beta 72.68
_cell_angle_gamma 87.98
loop_
_space_group_symop_operation_xyz
'x,y,z'
loop_
_atom_site_label
_atom_site_type_symbol
_atom_site_fract_x
_atom_site_fract_y
_atom_site_fract_z
Na1 Na 0.000 0.000 0.000
Te1 Te 0.409 0.287 0.230
Te2 Te 0.614 0.742 0.725
Au1 Au 0.184 0.625 0.507
# Distance to the lowest polymorph of the same formula in eV per atom: 0.018
# Energy relative to the elements, uncorrected in eV per atom: -0.337
# Magnetization in μB/f.u.: 0.00
# E_tot in Ry per atom: -0.225
# Space-group type: P1 (1)

=====

Entry 8:
# KTa2Te PBE-GGA relaxed
data_KTa2Te
_space_group_name_H-M_alt 'P 1'
_space_group_IT_number 1
_cell_length_a 9.109
_cell_length_b 3.267
_cell_length_c 7.666
_cell_angle_alpha 90.00
_cell_angle_beta 97.21
_cell_angle_gamma 90.00
loop_
_space_group_symop_operation_xyz
'x,y,z'
loop_
_atom_site_label
_atom_site_type_symbol
_atom_site_fract_x
_atom_site_fract_y
_atom_site_fract_z
K1 K 0.000 0.000 0.000
K2 K 0.500 0.500 0.000
Ta1 Ta 0.221 0.000 0.647
Ta2 Ta 0.493 0.000 0.517
Ta3 Ta 0.721 0.500 0.647
Ta4 Ta 0.993 0.500 0.517
Te1 Te 0.262 0.500 0.338
Te2 Te 0.762 0.000 0.338
# Energy relative to the elements, uncorrected in eV per atom: 0.503
# Magnetization in μB/f.u.: 0.00
# E_tot in Ry per atom: -0.476
# Space-group type: Cm (8)

=====

Entry 9:
# Fe2CuBr PBE-GGA relaxed
data_Fe2CuBr
_space_group_name_H-M_alt 'P 1'
_space_group_IT_number 1
_cell_length_a 3.281
_cell_length_b 4.860
_cell_length_c 7.894
_cell_angle_alpha 90.00
_cell_angle_beta 90.00
_cell_angle_gamma 90.00
loop_
_space_group_symop_operation_xyz
'x,y,z'
loop_
_atom_site_label
_atom_site_type_symbol
_atom_site_fract_x
_atom_site_fract_y
_atom_site_fract_z
Fe1 Fe 0.000 0.000 0.000
Fe2 Fe 0.000 0.500 0.216
Fe3 Fe 0.500 0.000 0.216
Fe4 Fe 0.500 0.500 0.000
Cu1 Cu 0.000 0.000 0.447
Cu2 Cu 0.500 0.500 0.447
Br1 Br 0.000 0.500 0.743
Br2 Br 0.500 0.000 0.743
# Distance to the lowest polymorph of the same formula in eV per atom: 0.165
# Energy relative to the elements, uncorrected in eV per atom: 0.508
# Magnetization in μB/f.u.: 5.72
# E_tot in Ry per atom: -0.380
# Space-group type: Cmm2 (35)

=====

Entry 10:
# CePuAs2 PBE-GGA relaxed
data_CePuAs2
_space_group_name_H-M_alt 'P 1'
_space_group_IT_number 1
_cell_length_a 4.187
_cell_length_b 4.187
_cell_length_c 7.048
_cell_angle_alpha 90.00
_cell_angle_beta 90.00
_cell_angle_gamma 120.00
loop_
_space_group_symop_operation_xyz
'x,y,z'
loop_
_atom_site_label
_atom_site_type_symbol
_atom_site_fract_x
_atom_site_fract_y
_atom_site_fract_z
Ce1 Ce 0.000 0.000 0.000
Pu1 Pu 0.000 0.000 0.500
As1 As 0.333 0.667 0.746
As2 As 0.667 0.333 0.254
# Distance to the lowest polymorph of the same formula in eV per atom: 0.183
# Magnetization in μB/f.u.: 6.01
# E_tot in Ry per atom: -0.621
# Space-group type: P-3m1 (164)

=====

Entry 11:
# Li2SmEr2Sn2 PBE-GGA relaxed
data_Li2SmEr2Sn2
_space_group_name_H-M_alt 'P 1'
_space_group_IT_number 1
_cell_length_a 9.248
_cell_length_b 9.248
_cell_length_c 9.248
_cell_angle_alpha 30.04
_cell_angle_beta 30.04
_cell_angle_gamma 30.04
loop_
_space_group_symop_operation_xyz
'x,y,z'
loop_
_atom_site_label
_atom_site_type_symbol
_atom_site_fract_x
_atom_site_fract_y
_atom_site_fract_z
Li1 Li 0.092 0.092 0.092
Li2 Li 0.908 0.908 0.908
Sm1 Sm 0.500 0.500 0.500
Er1 Er 0.370 0.370 0.370
Er2 Er 0.630 0.630 0.630
Sn1 Sn 0.239 0.239 0.239
Sn2 Sn 0.761 0.761 0.761
# Magnetization in μB/f.u.: 0.00
# E_tot in Ry per atom: -0.303
# Space-group type: R-3m (166)

=====

Entry 12:
# TlSi2Mo PBE-GGA relaxed
data_TlSi2Mo
_space_group_name_H-M_alt 'P 1'
_space_group_IT_number 1
_cell_length_a 6.577
_cell_length_b 6.577
_cell_length_c 6.577
_cell_angle_alpha 90.00
_cell_angle_beta 90.00
_cell_angle_gamma 90.00
loop_
_space_group_symop_operation_xyz
'x,y,z'
loop_
_atom_site_label
_atom_site_type_symbol
_atom_site_fract_x
_atom_site_fract_y
_atom_site_fract_z
Tl1 Tl 0.000 0.000 0.000
Tl2 Tl 0.000 0.500 0.500
Tl3 Tl 0.500 0.000 0.500
Tl4 Tl 0.500 0.500 0.000
Si1 Si 0.250 0.250 0.250
Si2 Si 0.250 0.250 0.750
Si3 Si 0.250 0.750 0.250
Si4 Si 0.250 0.750 0.750
Si5 Si 0.750 0.250 0.250
Si6 Si 0.750 0.250 0.750
Si7 Si 0.750 0.750 0.250
Si8 Si 0.750 0.750 0.750
Mo1 Mo 0.000 0.000 0.500
Mo2 Mo 0.000 0.500 0.000
Mo3 Mo 0.500 0.000 0.000
Mo4 Mo 0.500 0.500 0.500
# Distance to the lowest polymorph of the same formula in eV per atom: 0.688
# Energy relative to the elements, uncorrected in eV per atom: 0.841
# Magnetization in μB/f.u.: 0.87
# E_tot in Ry per atom: -0.380
# Space-group type: Fm-3m (225)